Here is a relaxed structure of Ti4ZnPd4 from Alexandria. Energies are from PBE.

Calculated total energy in eV per cell: -115.62

Geometry as CIF:
```
data_Ti4ZnPd4
_chemical_formula_sum 'Ti8 Zn2 Pd8'
_cell_length_a 8.523
_cell_length_b 8.523
_cell_length_c 3.860
_cell_angle_alpha 90.00
_cell_angle_beta 90.00
_cell_angle_gamma 90.00
_space_group_name_H-M_alt 'I 4/m m m'
_space_group_IT_number 139
_space_group_name_Hall '-I 4 2'
loop_
_atom_site_label
_atom_site_fract_x
_atom_site_fract_y
_atom_site_fract_z
Ti1 0.000 0.330 0.000
Zn1 0.000 0.000 0.000
Pd1 0.167 0.167 0.500
```